[1]
The following is a DFT calculation (GGA-PBE) of crystalline Er4TlIn2Ag at its relaxed geometry.

Cell: 9.1224 9.1224 9.1224 Å, 33.45 33.45 33.45°
Closest atoms and distances in Å follow each position.
Sites, in units of the cell vectors:
Er: 0.1223 0.1223 0.1223  1 Ag 3.16, 4 In 3.20-3.33, 3 Tl 3.24
Er: 0.3728 0.3728 0.3728  4 In 3.13-3.22, 3 Ag 3.20, 1 Tl 3.28
Er: 0.6272 0.6272 0.6272  4 In 3.13-3.22, 3 Ag 3.20, 1 Tl 3.28
Er: 0.8777 0.8777 0.8777  1 Ag 3.16, 4 In 3.20-3.33, 3 Tl 3.24
Tl: 0.5000 0.5000 0.5000  8 Er 3.24-3.28
In: 0.2514 0.2514 0.2514  8 Er 3.13-3.33
In: 0.7486 0.7486 0.7486  8 Er 3.13-3.33
Ag: 0.0000 0.0000 0.0000  8 Er 3.16-3.20

energy relative to the elements	-0.373	eV per atom
DFT total energy	-3.991	eV per atom
N(E_F)	7.1	states/eV/cell


[2]
The following is a DFT calculation (GGA-PBE) of crystalline ErTm2In2Ag2 at its relaxed geometry.

Cell: 9.2005 9.2005 9.2005 Å, 30.36 30.36 30.36°
Closest atoms and distances in Å follow each position.
Sites, in units of the cell vectors:
Er: 0.0000 0.0000 0.0000  6 Ag 3.25, 2 Tm 3.33, 6 In 3.40
Tm: 0.1265 0.1265 0.1265  3 In 3.10, 3 Ag 3.23, 1 Er 3.33
Tm: 0.8735 0.8735 0.8735  3 In 3.10, 3 Ag 3.23, 1 Er 3.33
In: 0.2590 0.2590 0.2590  3 Ag 2.80, 3 Tm 3.10
In: 0.7410 0.7410 0.7410  3 Ag 2.80, 3 Tm 3.10
Ag: 0.3972 0.3972 0.3972  3 In 2.80
Ag: 0.6028 0.6028 0.6028  3 In 2.80

energy relative to the elements	-0.253	eV per atom
DFT total energy	-3.779	eV per atom
N(E_F)	4.7	states/eV/cell


[3]
The following is a DFT calculation (GGA-PBE) of crystalline Er2TmIn2Ag2 at its relaxed geometry.

Cell: 9.2364 9.2364 9.2364 Å, 30.21 30.21 30.21°
Closest atoms and distances in Å follow each position.
Sites, in units of the cell vectors:
Er: 0.1262 0.1262 0.1262  3 In 3.11, 3 Ag 3.26, 1 Tm 3.33
Er: 0.8738 0.8738 0.8738  3 In 3.11, 3 Ag 3.26, 1 Tm 3.33
Tm: 0.0000 0.0000 0.0000  6 Ag 3.22, 2 Er 3.33, 6 In 3.39
In: 0.2597 0.2597 0.2597  3 Ag 2.80, 3 Er 3.11
In: 0.7403 0.7403 0.7403  3 Ag 2.80, 3 Er 3.11
Ag: 0.3952 0.3952 0.3952  3 In 2.80
Ag: 0.6048 0.6048 0.6048  3 In 2.80

energy relative to the elements	-0.254	eV per atom
DFT total energy	-3.793	eV per atom
N(E_F)	4.8	states/eV/cell


[4]
The following is a DFT calculation (GGA-PBE) of crystalline Er4AgIr2 at its relaxed geometry.

Cell: 8.3515 8.3515 8.3515 Å, 33.78 33.78 33.78°
Closest atoms and distances in Å follow each position.
Sites, in units of the cell vectors:
Er: 0.1203 0.1203 0.1203  4 Ir 2.93-3.04, 3 Ag 3.01
Er: 0.3715 0.3715 0.3715  4 Ir 2.89-3.01, 1 Ag 3.03
Er: 0.6285 0.6285 0.6285  4 Ir 2.89-3.01, 1 Ag 3.03
Er: 0.8797 0.8797 0.8797  4 Ir 2.93-3.04, 3 Ag 3.01
Ag: 0.5000 0.5000 0.5000  8 Er 3.01-3.03
Ir: 0.2489 0.2489 0.2489  8 Er 2.89-3.04
Ir: 0.7511 0.7511 0.7511  8 Er 2.89-3.04

energy relative to the elements	-0.696	eV per atom
DFT total energy	-6.242	eV per atom
offset from the most stable computed form	0	meV/atom
N(E_F)	4.9	states/eV/cell


- The lowest N(E_F) belongs to which entry?
  ErTm2In2Ag2